Rh2AuBr | PBE | relaxed

Calculated values
Volume in Å³/f.u.: 69.5
Size of the total moment in μB per atom: 0.00
Uncorrected formation energy in eV per formula unit: 2.1
Distance to the lowest polymorph of the same formula in meV/atom: 143

Unit cell a=7.737 b=3.125 c=5.875 alpha=90.00 beta=101.74 gamma=90.00
Space group C2/m (No. 12)
Unique sites:
1 Rh 0.249 0.000 0.227 (multiplicity 4)
2 Au 0.000 0.000 0.500 (multiplicity 2)
3 Br 0.000 0.500 0.000 (multiplicity 2)